# 1
Computed, not measured: crystalline CrP2S2 at its relaxed geometry at the PBE level of DFT.

Lattice parameters (Å, degrees): 4.411 4.411 4.404 90.00 90.00 90.00
Sites, in units of the cell vectors:
Cr1 0.000 0.000 0.000
P1 0.500 0.500 0.000
P2 0.500 0.500 0.500
S1 0.000 0.500 0.500
S2 0.500 0.000 0.500

=====

# 2
Computed, not measured: crystalline Cr2PS at its relaxed geometry at the PBE level of DFT.

Lattice parameters (Å, degrees): 6.524 6.524 6.524 131.95 131.95 70.30
Sites, in units of the cell vectors:
Cr1 0.124 0.625 0.999
Cr2 0.375 0.374 0.499
Cr3 0.626 0.125 0.001
Cr4 0.875 0.876 0.501
P1 0.250 0.750 0.500
P2 0.500 0.500 0.000
S1 0.000 0.000 0.000
S2 0.750 0.250 0.500

=====

# 3
Computed, not measured: crystalline CrPS3 at its relaxed geometry at the PBE level of DFT.

Lattice parameters (Å, degrees): 4.472 4.472 4.472 90.00 90.00 90.00
Sites, in units of the cell vectors:
Cr1 0.000 0.000 0.000
P1 0.500 0.500 0.500
S1 0.000 0.000 0.500
S2 0.000 0.500 0.000
S3 0.500 0.000 0.000

=====

# 4
Computed, not measured: crystalline CrP2S at its relaxed geometry at the PBE level of DFT.

Lattice parameters (Å, degrees): 6.401 6.401 6.401 130.71 130.71 72.28
Sites, in units of the cell vectors:
Cr1 0.000 0.000 0.000
Cr2 0.750 0.250 0.500
P1 0.093 0.625 0.968
P2 0.375 0.343 0.468
P3 0.657 0.125 0.032
P4 0.875 0.907 0.532
S1 0.250 0.750 0.500
S2 0.500 0.500 0.000

=====

# 5
Computed, not measured: crystalline CrP3S9 at its relaxed geometry at the PBE level of DFT.

Lattice parameters (Å, degrees): 9.043 9.043 11.450 124.04 124.04 51.53
Sites, in units of the cell vectors:
Cr1 0.245 0.755 0.500
Cr2 0.755 0.245 0.000
P1 0.043 0.234 0.827
P2 0.234 0.043 0.327
P3 0.280 0.444 0.675
P4 0.444 0.280 0.175
P5 0.669 0.806 0.225
P6 0.806 0.669 0.725
S1 0.052 0.245 0.219
S2 0.100 0.927 0.328
S3 0.159 0.425 0.028
S4 0.245 0.052 0.719
S5 0.313 0.661 0.697
S6 0.399 0.400 0.871
S7 0.400 0.399 0.371
S8 0.425 0.159 0.528
S9 0.460 0.778 0.237
S10 0.504 0.972 0.075
S11 0.545 0.756 0.559
S12 0.661 0.313 0.197
S13 0.756 0.545 0.059
S14 0.778 0.460 0.737
S15 0.866 0.871 0.426
S16 0.871 0.866 0.926
S17 0.927 0.100 0.828
S18 0.972 0.504 0.575

=====

# 6
Computed, not measured: crystalline CrP2S2 at its relaxed geometry at the PBE level of DFT.

Lattice parameters (Å, degrees): 4.526 4.526 4.196 90.00 90.00 90.00
Sites, in units of the cell vectors:
Cr1 0.000 0.000 0.000
P1 0.000 0.500 0.000
P2 0.500 0.000 0.000
S1 0.000 0.000 0.500
S2 0.500 0.500 0.500

=====

# 7
Computed, not measured: crystalline Cr2PS at its relaxed geometry at the PBE level of DFT.

Lattice parameters (Å, degrees): 4.025 4.025 4.025 60.00 60.00 60.00
Sites, in units of the cell vectors:
Cr1 0.250 0.250 0.250
Cr2 0.750 0.750 0.750
P1 0.000 0.000 0.000
S1 0.500 0.500 0.500

=====

# 8
Computed, not measured: crystalline CrPS3 at its relaxed geometry at the PBE level of DFT.

Lattice parameters (Å, degrees): 4.415 4.415 4.415 90.00 90.00 90.00
Sites, in units of the cell vectors:
Cr1 0.000 0.000 0.000
P1 0.500 0.500 0.500
S1 0.000 0.500 0.500
S2 0.500 0.000 0.500
S3 0.500 0.500 0.000

=====

# 9
Computed, not measured: crystalline Cr2SbPS at its relaxed geometry at the PBE level of DFT.

Lattice parameters (Å, degrees): 4.192 4.192 5.362 90.00 90.00 90.00
Sites, in units of the cell vectors:
Cr1 0.000 0.500 0.000
Cr2 0.500 0.000 0.000
Sb1 0.000 0.000 0.500
P1 0.500 0.500 0.500
S1 0.000 0.000 0.000

=====

# 10
Computed, not measured: crystalline CrSbP2S at its relaxed geometry at the PBE level of DFT.

Lattice parameters (Å, degrees): 4.744 4.744 4.213 90.00 90.00 90.00
Sites, in units of the cell vectors:
Cr1 0.000 0.000 0.000
Sb1 0.500 0.500 0.500
P1 0.000 0.500 0.000
P2 0.500 0.000 0.000
S1 0.000 0.000 0.500

=====

# 11
Computed, not measured: crystalline CrSbP2S at its relaxed geometry at the PBE level of DFT.

Lattice parameters (Å, degrees): 5.047 5.047 4.964 90.00 90.00 90.00
Sites, in units of the cell vectors:
Cr1 0.000 0.000 0.000
Sb1 0.500 0.500 0.500
P1 0.000 0.500 0.500
P2 0.500 0.000 0.500
S1 0.500 0.500 0.000

=====

# 12
Computed, not measured: crystalline CrP2SeS at its relaxed geometry at the PBE level of DFT.

Lattice parameters (Å, degrees): 4.585 4.585 4.213 90.00 90.00 90.00
Sites, in units of the cell vectors:
Cr1 0.000 0.000 0.000
P1 0.000 0.500 0.000
P2 0.500 0.000 0.000
Se1 0.500 0.500 0.500
S1 0.000 0.000 0.500

=====

# 13
Computed, not measured: crystalline CrPSeS2 at its relaxed geometry at the PBE level of DFT.

Lattice parameters (Å, degrees): 4.298 4.298 4.885 90.00 90.00 90.00
Sites, in units of the cell vectors:
Cr1 0.000 0.000 0.000
P1 0.000 0.000 0.500
Se1 0.500 0.500 0.500
S1 0.000 0.500 0.000
S2 0.500 0.000 0.000

=====

# 14
Computed, not measured: crystalline CrSnPS2 at its relaxed geometry at the PBE level of DFT.

Lattice parameters (Å, degrees): 4.987 4.987 5.032 90.00 90.00 90.00
Sites, in units of the cell vectors:
Cr1 0.000 0.000 0.000
Sn1 0.500 0.500 0.500
P1 0.500 0.500 0.000
S1 0.000 0.500 0.500
S2 0.500 0.000 0.500

=====

# 15
Computed, not measured: crystalline CrSnPS2 at its relaxed geometry at the PBE level of DFT.

Lattice parameters (Å, degrees): 4.698 4.698 4.492 90.00 90.00 90.00
Sites, in units of the cell vectors:
Cr1 0.000 0.000 0.000
Sn1 0.500 0.500 0.500
P1 0.000 0.000 0.500
S1 0.000 0.500 0.000
S2 0.500 0.000 0.000

=====

# 16
Computed, not measured: crystalline SrCrP2S at its relaxed geometry at the PBE level of DFT.

Lattice parameters (Å, degrees): 5.455 5.455 5.397 90.00 90.00 90.00
Sites, in units of the cell vectors:
Sr1 0.000 0.000 0.000
Cr1 0.500 0.500 0.500
P1 0.000 0.500 0.000
P2 0.500 0.000 0.000
S1 0.000 0.000 0.500

=====

# 17
Computed, not measured: crystalline SrCrP2S8 at its relaxed geometry at the PBE level of DFT.

Lattice parameters (Å, degrees): 5.866 5.866 8.523 90.00 90.00 120.00
Sites, in units of the cell vectors:
Sr1 0.000 0.000 0.000
Cr1 0.000 0.000 0.500
P1 0.333 0.667 0.731
P2 0.667 0.333 0.269
S1 0.006 0.682 0.331
S2 0.318 0.324 0.331
S3 0.324 0.006 0.669
S4 0.333 0.667 0.968
S5 0.667 0.333 0.032
S6 0.676 0.994 0.331
S7 0.682 0.676 0.669
S8 0.994 0.318 0.669

=====

# 18
Computed, not measured: crystalline SrCrP2S at its relaxed geometry at the PBE level of DFT.

Lattice parameters (Å, degrees): 4.386 4.386 5.400 90.00 90.00 90.00
Sites, in units of the cell vectors:
Sr1 0.000 0.000 0.000
Cr1 0.500 0.500 0.500
P1 0.000 0.500 0.500
P2 0.500 0.000 0.500
S1 0.500 0.500 0.000

=====

# 19
Computed, not measured: crystalline CrTcPS2 at its relaxed geometry at the PBE level of DFT.

Lattice parameters (Å, degrees): 4.370 4.370 4.581 90.00 90.00 90.00
Sites, in units of the cell vectors:
Cr1 0.000 0.000 0.000
Tc1 0.500 0.500 0.500
P1 0.000 0.000 0.500
S1 0.000 0.500 0.000
S2 0.500 0.000 0.000

=====

# 20
Computed, not measured: crystalline CrTcPS2 at its relaxed geometry at the PBE level of DFT.

Lattice parameters (Å, degrees): 4.647 4.647 4.522 90.00 90.00 90.00
Sites, in units of the cell vectors:
Cr1 0.000 0.000 0.000
Tc1 0.500 0.500 0.500
P1 0.500 0.500 0.000
S1 0.000 0.500 0.500
S2 0.500 0.000 0.500

=====

Number 1: raw formation energy 23.67 kcal/mol of atoms, mass density 3.5 g cm⁻³. Number 2: raw formation energy -3.25 kcal/mol of atoms, mass density 3.7 g cm⁻³. Number 3: raw formation energy 13.04 kcal/mol of atoms, mass density 3.3 g cm⁻³. Number 4: raw formation energy 8.04 kcal/mol of atoms, mass density 3.3 g cm⁻³. Number 5: raw formation energy -2.78 kcal/mol of atoms, mass density 2.5 g cm⁻³. Number 6: raw formation energy 11.39 kcal/mol of atoms, mass density 3.4 g cm⁻³. Number 7: raw formation energy -2.87 kcal/mol of atoms, mass density 6.0 g cm⁻³. Number 8: raw formation energy 21.19 kcal/mol of atoms, mass density 3.5 g cm⁻³. Number 9: raw formation energy 22.22 kcal/mol of atoms, mass density 5.1 g cm⁻³. Number 10: raw formation energy 8.50 kcal/mol of atoms, mass density 4.7 g cm⁻³. Number 11: raw formation energy 26.31 kcal/mol of atoms, mass density 3.5 g cm⁻³. Number 12: raw formation energy 9.18 kcal/mol of atoms, mass density 4.2 g cm⁻³. Number 13: raw formation energy 8.55 kcal/mol of atoms, mass density 4.2 g cm⁻³. Number 14: raw formation energy 19.32 kcal/mol of atoms, mass density 3.5 g cm⁻³. Number 15: raw formation energy 2.08 kcal/mol of atoms, mass density 4.5 g cm⁻³. Number 16: raw formation energy 28.48 kcal/mol of atoms, mass density 2.4 g cm⁻³. Number 17: raw formation energy -12.60 kcal/mol of atoms, mass density 3.0 g cm⁻³. Number 18: raw formation energy -11.63 kcal/mol of atoms, mass density 3.7 g cm⁻³. Number 19: raw formation energy 18.15 kcal/mol of atoms, mass density 4.7 g cm⁻³. Number 20: raw formation energy 23.85 kcal/mol of atoms, mass density 4.2 g cm⁻³.